# 1
Below is a relaxed structure of MgSbPd6, with properties calculated at the GGA-PBE level.

Structure (CIF):
```
data_MgSbPd6
_chemical_formula_sum 'Mg1 Sb1 Pd6'
_cell_length_a 4.788
_cell_length_b 4.788
_cell_length_c 7.277
_cell_angle_alpha 106.82
_cell_angle_beta 106.82
_cell_angle_gamma 69.86
_space_group_name_H-M_alt 'P 1'
_space_group_IT_number 1
_space_group_name_Hall 'P 1'
loop_
_atom_site_label
_atom_site_type_symbol
_atom_site_fract_x
_atom_site_fract_y
_atom_site_fract_z
Mg1 Mg 0.000 0.000 0.000
Sb1 Sb 0.500 0.500 0.500
Pd1 Pd 0.049 0.567 0.198
Pd2 Pd 0.147 0.147 0.435
Pd3 Pd 0.433 0.951 0.802
Pd4 Pd 0.567 0.049 0.198
Pd5 Pd 0.853 0.853 0.565
Pd6 Pd 0.951 0.433 0.802
```

Computed properties:
Formation energy from raw total energies (eV per atom): -0.221

***

# 2
Below is a relaxed structure of LiZnPt2, with properties calculated at the GGA-PBE level.

Structure (CIF):
```
data_LiZnPt2
_chemical_formula_sum 'Li1 Zn1 Pt2'
_cell_length_a 4.504
_cell_length_b 2.814
_cell_length_c 4.864
_cell_angle_alpha 90.00
_cell_angle_beta 110.32
_cell_angle_gamma 90.00
_space_group_name_H-M_alt 'P 1'
_space_group_IT_number 1
_space_group_name_Hall 'P 1'
loop_
_atom_site_label
_atom_site_type_symbol
_atom_site_fract_x
_atom_site_fract_y
_atom_site_fract_z
Li1 Li 0.000 0.000 0.000
Zn1 Zn 0.000 0.500 0.500
Pt1 Pt 0.500 0.000 0.500
Pt2 Pt 0.500 0.500 0.000
```

Computed properties:
ΔH_f (0 K) (eV/f.u.): -2.1

***

# 3
Below is a relaxed structure of MnSiHg, with properties calculated at the GGA-PBE level.

Structure (CIF):
```
data_MnSiHg
_chemical_formula_sum 'Mn1 Si1 Hg1'
_cell_length_a 5.451
_cell_length_b 5.451
_cell_length_c 3.068
_cell_angle_alpha 105.66
_cell_angle_beta 105.66
_cell_angle_gamma 32.68
_space_group_name_H-M_alt 'P 1'
_space_group_IT_number 1
_space_group_name_Hall 'P 1'
loop_
_atom_site_label
_atom_site_type_symbol
_atom_site_fract_x
_atom_site_fract_y
_atom_site_fract_z
Mn1 Mn 0.000 0.000 0.000
Si1 Si 0.417 0.417 0.421
Hg1 Hg 0.701 0.701 0.692
```

Computed properties:
Formation energy from raw total energies (eV per atom): 0.299

***

# 4
Below is a relaxed structure of PuSbAu5, with properties calculated at the GGA-PBE level.

Structure (CIF):
```
data_PuSbAu5
_chemical_formula_sum 'Pu4 Sb4 Au20'
_cell_length_a 9.474
_cell_length_b 5.737
_cell_length_c 11.074
_cell_angle_alpha 90.00
_cell_angle_beta 90.00
_cell_angle_gamma 90.00
_space_group_name_H-M_alt 'P 1'
_space_group_IT_number 1
_space_group_name_Hall 'P 1'
loop_
_atom_site_label
_atom_site_type_symbol
_atom_site_fract_x
_atom_site_fract_y
_atom_site_fract_z
Pu1 Pu 0.240 0.250 0.059
Pu2 Pu 0.260 0.750 0.559
Pu3 Pu 0.740 0.250 0.441
Pu4 Pu 0.760 0.750 0.941
Sb1 Sb 0.135 0.250 0.340
Sb2 Sb 0.365 0.750 0.840
Sb3 Sb 0.635 0.250 0.160
Sb4 Sb 0.865 0.750 0.660
Au1 Au 0.085 0.504 0.802
Au2 Au 0.085 0.750 0.025
Au3 Au 0.085 0.996 0.802
Au4 Au 0.093 0.250 0.577
Au5 Au 0.161 0.750 0.279
Au6 Au 0.339 0.250 0.779
Au7 Au 0.407 0.750 0.077
Au8 Au 0.415 0.004 0.302
Au9 Au 0.415 0.250 0.525
Au10 Au 0.415 0.496 0.302
Au11 Au 0.585 0.504 0.698
Au12 Au 0.585 0.750 0.475
Au13 Au 0.585 0.996 0.698
Au14 Au 0.593 0.250 0.923
Au15 Au 0.661 0.750 0.221
Au16 Au 0.839 0.250 0.721
Au17 Au 0.907 0.750 0.423
Au18 Au 0.915 0.004 0.198
Au19 Au 0.915 0.250 0.975
Au20 Au 0.915 0.496 0.198
```

Computed properties:
Formation energy from raw total energies (eV per atom): -0.202

***

# 5
Below is a relaxed structure of ZrFeNi, with properties calculated at the GGA-PBE level.

Structure (CIF):
```
data_ZrFeNi
_chemical_formula_sum 'Zr1 Fe1 Ni1'
_cell_length_a 4.884
_cell_length_b 4.884
_cell_length_c 4.884
_cell_angle_alpha 141.36
_cell_angle_beta 141.36
_cell_angle_gamma 55.80
_space_group_name_H-M_alt 'P 1'
_space_group_IT_number 1
_space_group_name_Hall 'P 1'
loop_
_atom_site_label
_atom_site_type_symbol
_atom_site_fract_x
_atom_site_fract_y
_atom_site_fract_z
Zr1 Zr 0.000 0.000 0.000
Fe1 Fe 0.678 0.678 0.000
Ni1 Ni 0.324 0.324 0.000
```

Computed properties:
ΔH_f (0 K) (eV/f.u.): -0.3

***

# 6
Below is a relaxed structure of BeTlP3, with properties calculated at the GGA-PBE level.

Structure (CIF):
```
data_BeTlP3
_chemical_formula_sum 'Be1 Tl1 P3'
_cell_length_a 5.097
_cell_length_b 5.097
_cell_length_c 5.097
_cell_angle_alpha 90.00
_cell_angle_beta 90.00
_cell_angle_gamma 90.00
_space_group_name_H-M_alt 'P 1'
_space_group_IT_number 1
_space_group_name_Hall 'P 1'
loop_
_atom_site_label
_atom_site_type_symbol
_atom_site_fract_x
_atom_site_fract_y
_atom_site_fract_z
Be1 Be 0.000 0.000 0.000
Tl1 Tl 0.500 0.500 0.500
P1 P 0.000 0.500 0.500
P2 P 0.500 0.000 0.500
P3 P 0.500 0.500 0.000
```

Computed properties:
ΔH_f (0 K) (eV/f.u.): 9.8

***

# 7
Below is a relaxed structure of RbAgHg2Cl6, with properties calculated at the GGA-PBE level.

Structure (CIF):
```
data_RbAgHg2Cl6
_chemical_formula_sum 'Rb2 Ag2 Hg4 Cl12'
_cell_length_a 9.766
_cell_length_b 9.766
_cell_length_c 8.298
_cell_angle_alpha 109.36
_cell_angle_beta 109.36
_cell_angle_gamma 76.75
_space_group_name_H-M_alt 'P 1'
_space_group_IT_number 1
_space_group_name_Hall 'P 1'
loop_
_atom_site_label
_atom_site_type_symbol
_atom_site_fract_x
_atom_site_fract_y
_atom_site_fract_z
Rb1 Rb 0.178 0.822 0.750
Rb2 Rb 0.822 0.178 0.250
Ag1 Ag 0.197 0.803 0.250
Ag2 Ag 0.803 0.197 0.750
Hg1 Hg 0.212 0.355 0.855
Hg2 Hg 0.355 0.212 0.355
Hg3 Hg 0.645 0.788 0.645
Hg4 Hg 0.788 0.645 0.145
Cl1 Cl 0.052 0.167 0.654
Cl2 Cl 0.106 0.622 0.955
Cl3 Cl 0.167 0.052 0.154
Cl4 Cl 0.293 0.423 0.604
Cl5 Cl 0.378 0.894 0.545
Cl6 Cl 0.423 0.293 0.104
Cl7 Cl 0.577 0.707 0.896
Cl8 Cl 0.622 0.106 0.455
Cl9 Cl 0.707 0.577 0.396
Cl10 Cl 0.833 0.948 0.846
Cl11 Cl 0.894 0.378 0.045
Cl12 Cl 0.948 0.833 0.346
```

Computed properties:
Formation energy from raw total energies (eV per atom): -0.833

***

# 8
Below is a relaxed structure of CdCo3Ni, with properties calculated at the GGA-PBE level.

Structure (CIF):
```
data_CdCo3Ni
_chemical_formula_sum 'Cd1 Co3 Ni1'
_cell_length_a 4.634
_cell_length_b 4.634
_cell_length_c 4.634
_cell_angle_alpha 90.00
_cell_angle_beta 90.00
_cell_angle_gamma 90.00
_space_group_name_H-M_alt 'P 1'
_space_group_IT_number 1
_space_group_name_Hall 'P 1'
loop_
_atom_site_label
_atom_site_type_symbol
_atom_site_fract_x
_atom_site_fract_y
_atom_site_fract_z
Cd1 Cd 0.000 0.000 0.000
Co1 Co 0.000 0.000 0.500
Co2 Co 0.000 0.500 0.000
Co3 Co 0.500 0.000 0.000
Ni1 Ni 0.500 0.500 0.500
```

Computed properties:
ΔH_f (0 K) (eV/f.u.): 10.0

***

# 9
Below is a relaxed structure of Er3Zn2Au, with properties calculated at the GGA-PBE level.

Structure (CIF):
```
data_Er3Zn2Au
_chemical_formula_sum 'Er3 Zn2 Au1'
_cell_length_a 5.020
_cell_length_b 5.020
_cell_length_c 6.141
_cell_angle_alpha 90.00
_cell_angle_beta 90.00
_cell_angle_gamma 120.00
_space_group_name_H-M_alt 'P 1'
_space_group_IT_number 1
_space_group_name_Hall 'P 1'
loop_
_atom_site_label
_atom_site_type_symbol
_atom_site_fract_x
_atom_site_fract_y
_atom_site_fract_z
Er1 Er 0.000 0.000 0.000
Er2 Er 0.333 0.667 0.663
Er3 Er 0.667 0.333 0.337
Zn1 Zn 0.333 0.667 0.152
Zn2 Zn 0.667 0.333 0.848
Au1 Au 0.000 0.000 0.500
```

Computed properties:
ΔH_f (0 K) (eV/f.u.): -3.2

***

# 10
Below is a relaxed structure of In8Hg3Bi2, with properties calculated at the GGA-PBE level.

Structure (CIF):
```
data_In8Hg3Bi2
_chemical_formula_sum 'In8 Hg3 Bi2'
_cell_length_a 8.778
_cell_length_b 8.778
_cell_length_c 8.033
_cell_angle_alpha 106.02
_cell_angle_beta 106.02
_cell_angle_gamma 42.99
_space_group_name_H-M_alt 'P 1'
_space_group_IT_number 1
_space_group_name_Hall 'P 1'
loop_
_atom_site_label
_atom_site_type_symbol
_atom_site_fract_x
_atom_site_fract_y
_atom_site_fract_z
In1 In 0.118 0.628 0.610
In2 In 0.169 0.169 0.074
In3 In 0.368 0.368 0.147
In4 In 0.372 0.882 0.390
In5 In 0.628 0.118 0.610
In6 In 0.632 0.632 0.853
In7 In 0.831 0.831 0.926
In8 In 0.882 0.372 0.390
Hg1 Hg 0.255 0.745 0.000
Hg2 Hg 0.500 0.500 0.500
Hg3 Hg 0.745 0.255 0.000
Bi1 Bi 0.233 0.233 0.733
Bi2 Bi 0.767 0.767 0.267
```

Computed properties:
ΔH_f (0 K) (eV/f.u.): 0.9

***

What did the ninth record say?
Below is a relaxed structure of Er3Zn2Au, with properties calculated at the GGA-PBE level.

Structure (CIF):
```
data_Er3Zn2Au
_chemical_formula_sum 'Er3 Zn2 Au1'
_cell_length_a 5.020
_cell_length_b 5.020
_cell_length_c 6.141
_cell_angle_alpha 90.00
_cell_angle_beta 90.00
_cell_angle_gamma 120.00
_space_group_name_H-M_alt 'P 1'
_space_group_IT_number 1
_space_group_name_Hall 'P 1'
loop_
_atom_site_label
_atom_site_type_symbol
_atom_site_fract_x
_atom_site_fract_y
_atom_site_fract_z
Er1 Er 0.000 0.000 0.000
Er2 Er 0.333 0.667 0.663
Er3 Er 0.667 0.333 0.337
Zn1 Zn 0.333 0.667 0.152
Zn2 Zn 0.667 0.333 0.848
Au1 Au 0.000 0.000 0.500
```

Computed properties:
ΔH_f (0 K) (eV/f.u.): -3.2